No. 1
DFT (PBEsol) results for a geometry-optimized NiAsSeN2 structure.

a = 3.5503 Å, b = 3.5503 Å, c = 5.8619 Å
α = 90.00°, β = 90.00°, γ = 90.00°
With the nearest neighbours (Å) after each atom.
Fractional coordinates of all 5 atoms:
Ni: 0.5000 0.5000 0.5000  4 Se 2.51
As: 0.0000 0.0000 0.0000  4 N 1.78
Se: 0.0000 0.0000 0.5000  4 Ni 2.51
N: 0.0000 0.5000 0.0000  2 As 1.78
N: 0.5000 0.0000 0.0000  2 As 1.78

Results
Crystal system: tetragonal


No. 2
DFT (PBEsol) results for a geometry-optimized YNb3Se structure.

a = 4.7902 Å, b = 4.7902 Å, c = 4.7902 Å
α = 90.00°, β = 90.00°, γ = 90.00°
With the nearest neighbours (Å) after each atom.
Fractional coordinates of all 5 atoms:
Y: 0.5000 0.5000 0.5000  12 Nb 3.39
Nb: 0.0000 0.5000 0.0000  2 Se 2.40
Nb: 0.0000 0.0000 0.5000  2 Se 2.40
Nb: 0.5000 0.0000 0.0000  2 Se 2.40
Se: 0.0000 0.0000 0.0000  6 Nb 2.40

Results
Crystal system: cubic


no.,spin magnetization (μB per atom),raw formation energy (eV/f.u.)
1,0.2388,6.44
2,0.0001,1.52